# 1
# TaNbSe4, relaxed, DFT GGA-PBE
data_TaNbSe4
_chemical_formula_sum 'Ta2 Nb2 Se8'
_space_group_name_H-M_alt 'P 1'
_space_group_IT_number 1
_cell_length_a 24.6346
_cell_length_b 3.4646
_cell_length_c 6.0076
_cell_angle_alpha 90.00
_cell_angle_beta 90.00
_cell_angle_gamma 90.00
loop_
_space_group_symop_operation_xyz
'x,y,z'
loop_
_atom_site_label
_atom_site_fract_x
_atom_site_fract_y
_atom_site_fract_z
_atom_site_occupancy
Ta1 0.0000 0.0000 0.0000 1
Ta2 0.0000 0.5000 0.5000 1
Nb1 0.5000 0.0000 0.5000 1
Nb2 0.5000 0.5000 0.0000 1
Se1 0.0682 0.0000 0.3331 1
Se2 0.0682 0.5000 0.8331 1
Se3 0.4317 0.0000 0.8331 1
Se4 0.4317 0.5000 0.3331 1
Se5 0.5683 0.0000 0.8331 1
Se6 0.5683 0.5000 0.3331 1
Se7 0.9318 0.0000 0.3331 1
Se8 0.9318 0.5000 0.8331 1
# Offset from the most stable computed form: 0.3 kJ per mole of atoms
# Space-group type: Amm2
# Total DFT energy (no corrections): -6.810 eV per atom

# 2
# HoLu2As3, relaxed, DFT GGA-PBE
data_HoLu2As3
_chemical_formula_sum 'Ho1 Lu2 As3'
_space_group_name_H-M_alt 'P 1'
_space_group_IT_number 1
_cell_length_a 4.0490
_cell_length_b 4.0490
_cell_length_c 9.9098
_cell_angle_alpha 90.00
_cell_angle_beta 90.00
_cell_angle_gamma 120.00
loop_
_space_group_symop_operation_xyz
'x,y,z'
loop_
_atom_site_label
_atom_site_fract_x
_atom_site_fract_y
_atom_site_fract_z
_atom_site_occupancy
Ho1 0.0000 0.0000 0.0000 1
Lu1 0.3333 0.6667 0.3350 1
Lu2 0.6667 0.3333 0.6650 1
As1 0.0000 0.0000 0.5000 1
As2 0.3333 0.6667 0.8295 1
As3 0.6667 0.3333 0.1705 1
# Space-group type: P-3m1
# Total DFT energy (no corrections): -6.086 eV per atom

# 3
# Cu, relaxed, DFT GGA-PBE
data_Cu
_chemical_formula_sum 'Cu15'
_space_group_name_H-M_alt 'P 1'
_space_group_IT_number 1
_cell_length_a 2.5231
_cell_length_b 2.5231
_cell_length_c 48.2011
_cell_angle_alpha 90.00
_cell_angle_beta 90.00
_cell_angle_gamma 120.00
loop_
_space_group_symop_operation_xyz
'x,y,z'
loop_
_atom_site_label
_atom_site_fract_x
_atom_site_fract_y
_atom_site_fract_z
_atom_site_occupancy
Cu1 0.0000 0.0000 0.0000 1
Cu2 0.0000 0.0000 0.2472 1
Cu3 0.0000 0.0000 0.3765 1
Cu4 0.0000 0.0000 0.6235 1
Cu5 0.0000 0.0000 0.7528 1
Cu6 0.3333 0.6667 0.0431 1
Cu7 0.3333 0.6667 0.2902 1
Cu8 0.3333 0.6667 0.4195 1
Cu9 0.3333 0.6667 0.6667 1
Cu10 0.3333 0.6667 0.9139 1
Cu11 0.6667 0.3333 0.0861 1
Cu12 0.6667 0.3333 0.3333 1
Cu13 0.6667 0.3333 0.5805 1
Cu14 0.6667 0.3333 0.7098 1
Cu15 0.6667 0.3333 0.9569 1
# Offset from the most stable computed form: 17.1 kJ per mole of atoms
# Space-group type: R-3m
# Total DFT energy (no corrections): -3.540 eV per atom

# 4
# LiScZnSn, relaxed, DFT GGA-PBE
data_LiScZnSn
_chemical_formula_sum 'Li4 Sc4 Zn4 Sn4'
_space_group_name_H-M_alt 'P 1'
_space_group_IT_number 1
_cell_length_a 6.6410
_cell_length_b 6.6410
_cell_length_c 6.6410
_cell_angle_alpha 90.00
_cell_angle_beta 90.00
_cell_angle_gamma 90.00
loop_
_space_group_symop_operation_xyz
'x,y,z'
loop_
_atom_site_label
_atom_site_fract_x
_atom_site_fract_y
_atom_site_fract_z
_atom_site_occupancy
Li1 0.0000 0.0000 0.0000 1
Li2 0.0000 0.5000 0.5000 1
Li3 0.5000 0.0000 0.5000 1
Li4 0.5000 0.5000 0.0000 1
Sc1 0.2500 0.2500 0.7500 1
Sc2 0.2500 0.7500 0.2500 1
Sc3 0.7500 0.2500 0.2500 1
Sc4 0.7500 0.7500 0.7500 1
Zn1 0.0000 0.0000 0.5000 1
Zn2 0.0000 0.5000 0.0000 1
Zn3 0.5000 0.0000 0.0000 1
Zn4 0.5000 0.5000 0.5000 1
Sn1 0.2500 0.2500 0.2500 1
Sn2 0.2500 0.7500 0.7500 1
Sn3 0.7500 0.2500 0.7500 1
Sn4 0.7500 0.7500 0.2500 1
# Offset from the most stable computed form: 16.5 kJ per mole of atoms
# Space-group type: F-43m
# Total DFT energy (no corrections): -3.607 eV per atom

Which of these has the lowest total DFT energy (no corrections)? TaNbSe4

Number 3 is which compound? Cu

Number 1 is which compound? TaNbSe4